First-principles (PBE) data for Ag2Hg after structural relaxation, as listed in Alexandria via LeMat-Bulk.

**Offset from the most stable computed form**: 72 meV/atom
**Spin magnetization**: 0.0 Bohr magnetons per cell
**Formation energy from the elements**: 123 meV/atom
**DOS(E_F)**: 0.64 states/eV/cell

The structure in POSCAR format:
```
Ag2Hg
1.0
-1.730 -3.966 2.250
-0.725 0.600 -4.785
2.456 -1.381 -0.545
Hg Ag
1 2
direct
0.000 0.000 0.000
0.333 0.667 0.500
0.667 0.333 0.500
```



First-principles (PBE) data for Ce2PaGe2Ru5 after structural relaxation, as listed in Alexandria via LeMat-Bulk.

**Spin magnetization**: 1.3 Bohr magnetons per cell
**Formation energy from the elements**: -488 meV/atom
**DOS(E_F)**: 21.17 states/eV/cell

The structure in POSCAR format:
```
Ce2PaGe2Ru5
1.0
3.619 0.000 0.000
0.000 10.047 0.000
0.000 0.000 10.047
Ce Pa Ge Ru
4 2 4 10
direct
0.000 0.669 0.169
0.000 0.331 0.831
0.000 0.169 0.331
0.000 0.831 0.669
0.000 0.000 0.000
0.000 0.500 0.500
0.000 0.127 0.627
0.000 0.873 0.373
0.000 0.627 0.873
0.000 0.373 0.127
0.500 0.207 0.069
0.500 0.793 0.931
0.500 0.069 0.793
0.500 0.707 0.431
0.500 0.931 0.207
0.500 0.293 0.569
0.500 0.569 0.707
0.500 0.431 0.293
0.500 0.500 0.000
0.500 0.000 0.500
```



First-principles (PBE) data for Sr2YNi9 after structural relaxation, as listed in Alexandria via LeMat-Bulk.

**Spin magnetization**: 2.2 Bohr magnetons per cell
**Formation energy from the elements**: -134 meV/atom
**DOS(E_F)**: 12.22 states/eV/cell

The structure in POSCAR format:
```
Sr2YNi9
1.0
-2.295 -2.768 3.539
2.305 -0.882 4.400
-3.429 5.701 5.832
Sr Y Ni
2 1 9
direct
0.860 0.860 0.421
0.140 0.140 0.579
0.000 0.000 0.000
0.668 0.668 0.997
0.332 0.332 0.003
0.500 0.500 0.500
0.425 0.425 0.232
0.919 0.425 0.232
0.425 0.919 0.232
0.575 0.575 0.768
0.575 0.081 0.768
0.081 0.575 0.768
```



First-principles (PBE) data for BiSeCl after structural relaxation, as listed in Alexandria via LeMat-Bulk.

**Uncorrected formation energy**: -0.678 eV/atom
**Spin magnetization**: 0.0 Bohr magnetons per cell
**DOS(E_F)**: 0.00 states/eV/cell

The structure in POSCAR format:
```
BiSeCl
1.0
-1.546 -0.295 -3.835
-3.362 -2.319 -0.707
-5.692 4.640 -0.302
Bi Se Cl
1 1 1
direct
0.360 0.360 0.919
0.102 0.102 0.693
0.611 0.611 0.167
```



First-principles (PBE) data for Hf2CuHOs after structural relaxation, as listed in Alexandria via LeMat-Bulk.

**Offset from the most stable computed form**: 0 meV/atom
**Spin magnetization**: 0.0 Bohr magnetons per cell
**DOS(E_F)**: 1.88 states/eV/cell

The structure in POSCAR format:
```
Hf2CuHOs
1.0
-2.181 -3.001 2.714
-2.028 -1.858 -3.683
2.547 -2.142 -0.322
Hf Os Cu H
2 1 1 1
direct
0.000 0.500 0.000
0.500 0.000 0.000
0.500 0.500 0.500
0.000 0.000 0.500
0.000 0.000 0.000
```



First-principles (PBE) data for Ti2BeTeS after structural relaxation, as listed in Alexandria via LeMat-Bulk.

**Uncorrected formation energy**: 0.360 eV/atom
**Spin magnetization**: 0.9 Bohr magnetons per cell
**DOS(E_F)**: 5.33 states/eV/cell

The structure in POSCAR format:
```
Ti2BeTeS
1.0
-3.042 -0.745 3.497
-0.847 -3.744 -1.534
3.443 -1.845 2.602
Be S Te Ti
1 1 1 2
direct
0.000 0.000 0.000
0.500 0.500 0.500
0.000 0.500 0.000
0.000 0.000 0.500
0.500 0.000 0.000
```



First-principles (PBE) data for La2Be3AlCu12 after structural relaxation, as listed in Alexandria via LeMat-Bulk.

**Spin magnetization**: 0.0 Bohr magnetons per cell
**Formation energy from the elements**: 267 meV/atom
**DOS(E_F)**: 7.63 states/eV/cell

The structure in POSCAR format:
```
La2Be3AlCu12
1.0
7.399 -0.067 -0.047
3.596 6.467 -0.047
3.596 2.093 6.119
La Be Al Cu
2 3 1 12
direct
0.606 0.606 0.606
0.394 0.394 0.394
0.500 0.000 0.000
0.000 0.500 0.000
0.000 0.000 0.500
0.000 0.000 0.000
0.334 0.334 0.907
0.878 0.878 0.388
0.388 0.878 0.878
0.907 0.334 0.334
0.878 0.388 0.878
0.334 0.907 0.334
0.666 0.666 0.093
0.122 0.122 0.612
0.612 0.122 0.122
0.093 0.666 0.666
0.122 0.612 0.122
0.666 0.093 0.666
```



First-principles (PBE) data for CaSbW2Au after structural relaxation, as listed in Alexandria via LeMat-Bulk.

**Offset from the most stable computed form**: 270 meV/atom
**Uncorrected formation energy**: 0.305 eV/atom
**Spin magnetization**: 0.0 Bohr magnetons per cell
**DOS(E_F)**: 6.94 states/eV/cell

The structure in POSCAR format:
```
CaSbW2Au
1.0
-5.776 4.566 2.664
-1.137 -2.505 1.827
10.491 -2.176 3.546
Sb Ca Au W
2 2 2 4
direct
0.788 0.000 0.104
0.788 0.500 0.604
0.608 0.000 0.745
0.608 0.500 0.245
0.173 0.000 0.947
0.173 0.500 0.447
0.363 0.000 0.348
0.363 0.500 0.848
0.090 0.000 0.618
0.090 0.500 0.118
```